No. 1
Compound: CoAgAu2
Source: Alexandria
Functional: GGA-PBEsol
Structure: relaxed

```
data_CoAgAu2
_space_group_name_H-M_alt 'P 4/m m m'
_space_group_IT_number 123
_space_group_name_Hall '-P 4 2'
_cell_length_a 2.7964
_cell_length_b 2.7964
_cell_length_c 7.7956
_cell_angle_alpha 90.00
_cell_angle_beta 90.00
_cell_angle_gamma 90.00
loop_
_atom_site_label
_atom_site_type_symbol
_atom_site_fract_x
_atom_site_fract_y
_atom_site_fract_z
_atom_site_occupancy
Co1 Co 0.0000 0.0000 0.0000 1
Ag1 Ag 0.0000 0.0000 0.5000 1
Au1 Au 0.5000 0.5000 0.2276 1
```

---

No. 2
Compound: MnCoAgAu2
Source: Alexandria
Functional: GGA-PBEsol
Structure: relaxed

```
data_MnCoAgAu2
_space_group_name_H-M_alt 'P 4/m m m'
_space_group_IT_number 123
_space_group_name_Hall '-P 4 2'
_cell_length_a 4.6862
_cell_length_b 4.6862
_cell_length_c 4.2898
_cell_angle_alpha 90.00
_cell_angle_beta 90.00
_cell_angle_gamma 90.00
loop_
_atom_site_label
_atom_site_type_symbol
_atom_site_fract_x
_atom_site_fract_y
_atom_site_fract_z
_atom_site_occupancy
Mn1 Mn 0.0000 0.0000 0.0000 1
Co1 Co 0.0000 0.0000 0.5000 1
Ag1 Ag 0.5000 0.5000 0.0000 1
Au1 Au 0.0000 0.5000 0.5000 1
```

---

no.,volume (Å³/cell),E_tot (eV per cell)
1,61.0,-18.42
2,94.2,-24.35